Entry from OQMD via LeMat-Bulk: crystalline CsGdGeSe3 at its relaxed geometry (PBE).

Geometry as CIF:
```
data_CsGdGeSe3
_cell_length_a 8.288
_cell_length_b 8.288
_cell_length_c 11.532
_cell_angle_alpha 90.00
_cell_angle_beta 90.00
_cell_angle_gamma 148.89
_space_group_name_H-M_alt 'P 1'
_space_group_IT_number 1
_space_group_name_Hall 'P 1'
loop_
_atom_site_label
_atom_site_type_symbol
_atom_site_fract_x
_atom_site_fract_y
_atom_site_fract_z
Cs1 Cs 0.261 0.739 0.250
Cs2 Cs 0.739 0.261 0.750
Gd1 Gd 0.000 0.000 0.000
Gd2 Gd 0.000 0.000 0.500
Ge1 Ge 0.543 0.457 0.250
Ge2 Ge 0.457 0.543 0.750
Se1 Se 0.618 0.382 0.041
Se2 Se 0.950 0.050 0.250
Se3 Se 0.618 0.382 0.459
Se4 Se 0.382 0.618 0.541
Se5 Se 0.050 0.950 0.750
Se6 Se 0.382 0.618 0.959
```

Summary:
Its volume is 34.106 Å³ per atom. Its energy is -54.952 eV/cell.